Computed, not measured: an optimized crystal structure of K3GeAu4 at the PBE level of DFT.

D(E_F)   0.32 states/eV per atom
Calculated formation energy   -0.2828 eV per atom

CIF file:
```
data_K3GeAu4
_symmetry_space_group_name_H-M 'P 1'
_symmetry_Int_Tables_number 1
_cell_length_a 6.528
_cell_length_b 6.900
_cell_length_c 6.900
_cell_angle_alpha 74.40
_cell_angle_beta 61.76
_cell_angle_gamma 61.76
loop_
_symmetry_equiv_pos_as_xyz
'x,y,z'
loop_
_atom_site_label
_atom_site_type_symbol
_atom_site_fract_x
_atom_site_fract_y
_atom_site_fract_z
K1 K 0.419 0.843 0.319
K2 K 0.081 0.919 0.919
K3 K 0.419 0.319 0.843
Au1 Au 0.806 0.933 0.455
Au2 Au 0.806 0.455 0.933
Au3 Au 0.883 0.331 0.331
Au4 Au 0.456 0.331 0.331
Ge1 Ge 0.979 0.521 0.521
```